No. 1
The following is a PBE calculation of an optimized crystal structure of PmYErTl, from Alexandria.

a b c (Å): 4.881 4.839 4.931
angles (deg): 90.00 90.00 90.00
Atoms (fractional coordinates):
1 Er 0.000 0.500 0.500
2 Y 0.500 0.500 0.000
3 Tl 0.000 0.000 0.000
4 Pm 0.500 0.000 0.500

## Properties
Energy of formation from the pure elements: -0.187 eV per atom
Offset from the most stable computed form: 0.000 eV/atom

=====

No. 2
The following is a PBE calculation of an optimized crystal structure of PmY2ErTl2, from Alexandria.

a b c (Å): 5.108 6.902 10.010
angles (deg): 90.00 90.00 90.00
Atoms (fractional coordinates):
1 Er 0.500 0.675 0.308
2 Er 0.500 0.175 0.692
3 Tl 0.500 0.222 0.367
4 Tl 0.500 0.722 0.633
5 Tl 0.000 0.297 0.868
6 Tl 0.000 0.797 0.132
7 Y 0.500 0.553 0.953
8 Y 0.000 0.341 0.184
9 Y 0.000 0.841 0.816
10 Y 0.500 0.053 0.047
11 Pm 0.000 0.958 0.454
12 Pm 0.000 0.458 0.546

## Properties
Energy of formation from the pure elements: -0.288 eV per atom

=====

Number 1: raw total energy -18.891 eV/cell, size of the total moment 0.830 μB/f.u., N(E_F) 1.25 states/eV/atom. Number 2: raw total energy -57.406 eV/cell, size of the total moment 0.000 μB/f.u., N(E_F) 1.06 states/eV/atom.